Entry 1:
Computed, not measured: LiInHg at its PBEsol-relaxed geometry at the SCAN level of DFT.

Results
M_tot   0.00 μB per formula unit
Volume   20.3 Å³ per atom
E_tot   -209.640 eV per cell

abc: 3.472 3.966 8.825
angles: 90.00 90.00 90.00
Positions (direct):
1 Li 0.000 0.000 0.000
2 Li 0.500 0.500 0.500
3 In 0.000 0.000 0.328
4 In 0.500 0.500 0.828
5 Hg 0.000 0.000 0.659
6 Hg 0.500 0.500 0.159

Entry 2:
Computed, not measured: MgIn2Hg at its PBEsol-relaxed geometry at the SCAN level of DFT.

Results
M_tot   0.00 μB per formula unit
Volume   23.1 Å³ per atom
E_tot   -140.295 eV per cell

abc: 3.288 3.288 8.545
angles: 90.00 90.00 90.00
Positions (direct):
1 Mg 0.000 0.000 0.000
2 In 0.000 0.000 0.529
3 In 0.500 0.500 0.251
4 Hg 0.500 0.500 0.788

Entry 3:
Computed, not measured: MgIn2Hg at its PBEsol-relaxed geometry at the SCAN level of DFT.

Results
M_tot   0.00 μB per formula unit
Volume   23.1 Å³ per atom
E_tot   -280.577 eV per cell

abc: 10.051 3.385 5.556
angles: 90.00 101.87 90.00
Positions (direct):
1 Mg 0.000 0.000 0.000
2 Mg 0.500 0.500 0.000
3 In 0.248 0.000 0.735
4 In 0.492 0.000 0.485
5 In 0.748 0.500 0.735
6 In 0.992 0.500 0.485
7 Hg 0.240 0.500 0.216
8 Hg 0.740 0.000 0.216

Entry 4:
Computed, not measured: Mg2InHg at its PBEsol-relaxed geometry at the SCAN level of DFT.

Results
M_tot   0.00 μB per formula unit
Volume   22.2 Å³ per atom
E_tot   -337.070 eV per cell

abc: 3.334 3.334 27.685
angles: 90.00 90.00 120.00
Positions (direct):
1 Mg 0.000 0.000 0.246
2 Mg 0.000 0.000 0.754
3 Mg 0.333 0.667 0.421
4 Mg 0.333 0.667 0.913
5 Mg 0.667 0.333 0.087
6 Mg 0.667 0.333 0.579
7 In 0.000 0.000 0.000
8 In 0.333 0.667 0.667
9 In 0.667 0.333 0.333
10 Hg 0.000 0.000 0.500
11 Hg 0.333 0.667 0.167
12 Hg 0.667 0.333 0.833

Entry 5:
Computed, not measured: MgIn2Hg at its PBEsol-relaxed geometry at the SCAN level of DFT.

Results
M_tot   0.00 μB per formula unit
Volume   23.0 Å³ per atom
E_tot   -280.477 eV per cell

abc: 4.521 4.521 9.021
angles: 90.00 90.00 90.00
Positions (direct):
1 Mg 0.000 0.000 0.000
2 Mg 0.500 0.500 0.500
3 In 0.000 0.000 0.500
4 In 0.000 0.500 0.750
5 In 0.500 0.000 0.250
6 In 0.500 0.500 0.000
7 Hg 0.000 0.500 0.250
8 Hg 0.500 0.000 0.750

Entry 6:
Computed, not measured: Mg2InHg at its PBEsol-relaxed geometry at the SCAN level of DFT.

Results
M_tot   0.00 μB per formula unit
Volume   22.4 Å³ per atom
E_tot   -111.955 eV per cell

abc: 3.229 3.229 8.604
angles: 90.00 90.00 90.00
Positions (direct):
1 Mg 0.000 0.000 0.000
2 Mg 0.500 0.500 0.260
3 In 0.500 0.500 0.744
4 Hg 0.000 0.000 0.480

Entry 7:
Computed, not measured: Mg2InHg at its PBEsol-relaxed geometry at the SCAN level of DFT.

Results
M_tot   0.00 μB per formula unit
Volume   21.8 Å³ per atom
E_tot   -224.648 eV per cell

abc: 4.307 4.307 9.382
angles: 90.00 90.00 90.00
Positions (direct):
1 Mg 0.000 0.000 0.000
2 Mg 0.000 0.500 0.250
3 Mg 0.500 0.000 0.750
4 Mg 0.500 0.500 0.500
5 In 0.000 0.500 0.750
6 In 0.500 0.000 0.250
7 Hg 0.000 0.000 0.500
8 Hg 0.500 0.500 0.000

Entry 8:
Computed, not measured: MgIn2Hg at its PBEsol-relaxed geometry at the SCAN level of DFT.

Results
M_tot   0.00 μB per formula unit
Volume   23.1 Å³ per atom
E_tot   -280.505 eV per cell

abc: 6.180 8.884 3.372
angles: 90.00 90.00 90.00
Positions (direct):
1 Mg 0.000 0.000 0.000
2 Mg 0.500 0.500 0.000
3 In 0.250 0.250 0.500
4 In 0.250 0.750 0.500
5 In 0.750 0.250 0.500
6 In 0.750 0.750 0.500
7 Hg 0.000 0.500 0.000
8 Hg 0.500 0.000 0.000

The DOS at the Fermi energy results, record by record, are as follows: 0.76 1.78 1.45 1.40 1.73 1.46 1.22 1.53 states/eV/f.u..